No. 1
RbZrW | GGA-PBE | relaxed

Structure (CIF):
```
data_RbZrW
_cell_length_a 6.8473
_cell_length_b 6.8473
_cell_length_c 6.8473
_cell_angle_alpha 90.00
_cell_angle_beta 90.00
_cell_angle_gamma 90.00
_symmetry_space_group_name_H-M 'F -4 3 m'
_symmetry_Int_Tables_number 216
_symmetry_space_group_name_Hall 'F -4 2 3'
loop_
_atom_site_label
_atom_site_type_symbol
_atom_site_fract_x
_atom_site_fract_y
_atom_site_fract_z
_atom_site_occupancy
Rb1 Rb 0.0000 0.0000 0.0000 1
Zr1 Zr 0.2500 0.2500 0.2500 1
W1 W 0.2500 0.2500 0.7500 1
```

Final energy ... -4.464 eV per atom

---

No. 2
HOsCl6 | GGA-PBE | relaxed

Structure (CIF):
```
data_HOsCl6
_cell_length_a 6.1352
_cell_length_b 6.2921
_cell_length_c 6.7221
_cell_angle_alpha 87.67
_cell_angle_beta 64.76
_cell_angle_gamma 61.10
_symmetry_space_group_name_H-M 'P -1'
_symmetry_Int_Tables_number 2
loop_
_symmetry_equiv_pos_as_xyz
'x,y,z'
'-x,-y,-z'
loop_
_atom_site_label
_atom_site_type_symbol
_atom_site_fract_x
_atom_site_fract_y
_atom_site_fract_z
_atom_site_occupancy
H1 H 0.0000 0.0000 0.0000 1
Os1 Os 0.5000 0.0000 0.0000 1
Cl1 Cl 0.0863 0.3514 0.2298 1
Cl2 Cl 0.2845 0.9455 0.7986 1
Cl3 Cl 0.3712 0.7689 0.2432 1
```

Final energy ... -3.602 eV per atom

---

No. 3
RbSm2Cu3Te5 | GGA-PBE | relaxed

Structure (CIF):
```
data_RbSm2Cu3Te5
_cell_length_a 4.4094
_cell_length_b 15.4917
_cell_length_c 18.4500
_cell_angle_alpha 90.00
_cell_angle_beta 90.00
_cell_angle_gamma 90.00
_symmetry_space_group_name_H-M 'C m c m'
_symmetry_Int_Tables_number 63
_symmetry_space_group_name_Hall '-C 2c 2'
loop_
_atom_site_label
_atom_site_type_symbol
_atom_site_fract_x
_atom_site_fract_y
_atom_site_fract_z
_atom_site_occupancy
Rb1 Rb 0.0000 0.0569 0.2500 1
Sm1 Sm 0.0000 0.1916 0.5902 1
Cu1 Cu 0.0000 0.3409 0.2500 1
Cu2 Cu 0.0000 0.4144 0.5227 1
Te1 Te 0.0000 0.1599 0.0741 1
Te2 Te 0.0000 0.2470 0.7500 1
Te3 Te 0.0000 0.4462 0.1183 1
```

Final energy ... -4.236 eV per atom

---

No. 4
Lu2Zr2O5 | GGA-PBE | relaxed

Structure (CIF):
```
data_Lu2Zr2O5
_cell_length_a 3.5951
_cell_length_b 3.5951
_cell_length_c 9.6746
_cell_angle_alpha 90.00
_cell_angle_beta 90.00
_cell_angle_gamma 90.00
_symmetry_space_group_name_H-M 'P 4/m m m'
_symmetry_Int_Tables_number 123
_symmetry_space_group_name_Hall '-P 4 2'
loop_
_atom_site_label
_atom_site_type_symbol
_atom_site_fract_x
_atom_site_fract_y
_atom_site_fract_z
_atom_site_occupancy
Lu1 Lu 0.0000 0.0000 0.2490 1
Zr1 Zr 0.5000 0.5000 0.0000 1
Zr2 Zr 0.5000 0.5000 0.5000 1
O1 O 0.0000 0.0000 0.5000 1
O2 O 0.0000 0.5000 0.1318 1
```

Final energy ... -8.404 eV per atom

---

Q: Which value of final energy does entry 1 give?
A: -4.464 eV per atom